An optimized crystal structure of Ba3HgRh2, computed with PBE.

Summary:
Energy relative to the elements   -0.1948 eV/atom

Cell and atoms, written as CIF:
```
data_Ba3HgRh2
_chemical_formula_sum 'Ba12 Hg4 Rh8'
_space_group_name_H-M_alt 'P 1 21/c 1'
_space_group_IT_number 14
_cell_length_a 8.407
_cell_length_b 9.937
_cell_length_c 10.866
_cell_angle_alpha 90.00
_cell_angle_beta 118.14
_cell_angle_gamma 90.00
loop_
_space_group_symop_operation_xyz
'x,y,z'
'-x,-y,-z'
'-x,y+1/2,-z+1/2'
'x,-y+1/2,z+1/2'
loop_
_atom_site_label
_atom_site_type_symbol
_atom_site_fract_x
_atom_site_fract_y
_atom_site_fract_z
Ba1 Ba 0.224 0.248 0.139
Ba2 Ba 0.245 0.535 0.903
Ba3 Ba 0.246 0.535 0.400
Hg1 Hg 0.314 0.748 0.677
Rh1 Rh 0.011 0.250 0.310
Rh2 Rh 0.498 0.501 0.249
```



An optimized crystal structure of LaOsN2, computed with PBE.

Summary:
Formation energy without anion corrections   -0.303 eV/atom
Energy above the most stable polymorph in this dataset   0 meV per atom

Cell and atoms, written as CIF:
```
data_LaOsN2
_chemical_formula_sum 'La4 Os4 N8'
_space_group_name_H-M_alt 'I -4 2 d'
_space_group_IT_number 122
_space_group_name_Hall 'I -4 2bw'
_cell_length_a 4.865
_cell_length_b 4.865
_cell_length_c 10.869
_cell_angle_alpha 90.00
_cell_angle_beta 90.00
_cell_angle_gamma 90.00
loop_
_atom_site_label
_atom_site_type_symbol
_atom_site_fract_x
_atom_site_fract_y
_atom_site_fract_z
La1 La 0.000 0.000 0.000
Os1 Os 0.000 0.000 0.500
N1 N 0.150 0.250 0.625
```



An optimized crystal structure of LuThIn4, computed with PBE.

Summary:
Energy relative to the elements   -0.2174 eV/atom

Cell and atoms, written as CIF:
```
data_LuThIn4
_chemical_formula_sum 'Lu4 Th4 In16'
_space_group_name_H-M_alt 'F -4 3 m'
_space_group_IT_number 216
_space_group_name_Hall 'F -4 2 3'
_cell_length_a 8.528
_cell_length_b 8.528
_cell_length_c 8.528
_cell_angle_alpha 90.00
_cell_angle_beta 90.00
_cell_angle_gamma 90.00
loop_
_atom_site_label
_atom_site_type_symbol
_atom_site_fract_x
_atom_site_fract_y
_atom_site_fract_z
Lu1 Lu 0.000 0.000 0.000
Th1 Th 0.250 0.250 0.250
In1 In 0.125 0.125 0.625
```



An optimized crystal structure of SrLaMo, computed with PBE.

Summary:
Energy relative to the elements   0.7892 eV/atom
Energy above the most stable polymorph in this dataset   113 meV per atom

Cell and atoms, written as CIF:
```
data_SrLaMo
_chemical_formula_sum 'Sr1 La1 Mo1'
_space_group_name_H-M_alt 'P 3 m 1'
_space_group_IT_number 156
_cell_length_a 3.6762
_cell_length_b 3.6762
_cell_length_c 7.9482
_cell_angle_alpha 90.00
_cell_angle_beta 90.00
_cell_angle_gamma 120.00
loop_
_space_group_symop_operation_xyz
'x,y,z'
'-y,x-y,z'
'-x+y,-x,z'
'-y,-x,z'
'-x+y,y,z'
'x,x-y,z'
loop_
_atom_site_label
_atom_site_type_symbol
_atom_site_fract_x
_atom_site_fract_y
_atom_site_fract_z
Sr1 Sr 0.0000 0.0000 0.0000
La1 La 0.6667 0.3333 0.4543
Mo1 Mo 0.3333 0.6667 0.6969
```



An optimized crystal structure of PrAlCu, computed with PBE.

Summary:
Energy relative to the elements   -0.3050 eV/atom

Cell and atoms, written as CIF:
```
data_PrAlCu
_chemical_formula_sum 'Pr1 Al1 Cu1'
_space_group_name_H-M_alt 'P -6 m 2'
_space_group_IT_number 187
_space_group_name_Hall 'P -6 2'
_cell_length_a 4.4623
_cell_length_b 4.4623
_cell_length_c 3.8728
_cell_angle_alpha 90.00
_cell_angle_beta 90.00
_cell_angle_gamma 120.00
loop_
_atom_site_label
_atom_site_type_symbol
_atom_site_fract_x
_atom_site_fract_y
_atom_site_fract_z
Pr1 Pr 0.0000 0.0000 0.0000
Al1 Al 0.3333 0.6667 0.5000
Cu1 Cu 0.6667 0.3333 0.5000
```



An optimized crystal structure of SrGa2FeHg, computed with PBE.

Summary:
Energy relative to the elements   -0.2281 eV/atom

Cell and atoms, written as CIF:
```
data_SrGa2FeHg
_chemical_formula_sum 'Sr1 Ga2 Fe1 Hg1'
_space_group_name_H-M_alt 'P 4/m m m'
_space_group_IT_number 123
_space_group_name_Hall '-P 4 2'
_cell_length_a 4.654
_cell_length_b 4.654
_cell_length_c 5.135
_cell_angle_alpha 90.00
_cell_angle_beta 90.00
_cell_angle_gamma 90.00
loop_
_atom_site_label
_atom_site_type_symbol
_atom_site_fract_x
_atom_site_fract_y
_atom_site_fract_z
Sr1 Sr 0.000 0.000 0.000
Ga1 Ga 0.000 0.500 0.500
Fe1 Fe 0.500 0.500 0.500
Hg1 Hg 0.500 0.500 0.000
```



An optimized crystal structure of Hf11Cd3, computed with PBE.

Summary:
Energy relative to the elements   0.1571 eV/atom

Cell and atoms, written as CIF:
```
data_Hf11Cd3
_chemical_formula_sum 'Hf22 Cd6'
_space_group_name_H-M_alt 'I m m m'
_space_group_IT_number 71
_space_group_name_Hall '-I 2 2'
_cell_length_a 5.079
_cell_length_b 9.060
_cell_length_c 13.565
_cell_angle_alpha 90.00
_cell_angle_beta 90.00
_cell_angle_gamma 90.00
loop_
_atom_site_label
_atom_site_type_symbol
_atom_site_fract_x
_atom_site_fract_y
_atom_site_fract_z
Hf1 Hf 0.000 0.000 0.000
Hf2 Hf 0.000 0.161 0.280
Hf3 Hf 0.000 0.328 0.102
Hf4 Hf 0.000 0.500 0.307
Cd1 Cd 0.000 0.000 0.500
Cd2 Cd 0.000 0.315 0.500
```



An optimized crystal structure of LaDy2ErAu4, computed with PBE.

Summary:
Energy relative to the elements   -0.8354 eV/atom

Cell and atoms, written as CIF:
```
data_LaDy2ErAu4
_chemical_formula_sum 'La3 Dy6 Er3 Au12'
_space_group_name_H-M_alt 'R -3 m'
_space_group_IT_number 166
_space_group_name_Hall '-R 3 2"'
_cell_length_a 5.0986
_cell_length_b 5.0986
_cell_length_c 25.8291
_cell_angle_alpha 90.00
_cell_angle_beta 90.00
_cell_angle_gamma 120.00
loop_
_atom_site_label
_atom_site_type_symbol
_atom_site_fract_x
_atom_site_fract_y
_atom_site_fract_z
La1 La 0.0000 0.0000 0.0000
Dy1 Dy 0.0000 0.0000 0.2475
Er1 Er 0.0000 0.0000 0.5000
Au1 Au 0.0000 0.0000 0.1288
Au2 Au 0.0000 0.0000 0.3842
```



An optimized crystal structure of TcAgAsBr2, computed with PBE.

Summary:
Formation energy without anion corrections   0.417 eV/atom
Energy above the most stable polymorph in this dataset   0 meV per atom

Cell and atoms, written as CIF:
```
data_TcAgAsBr2
_chemical_formula_sum 'Tc1 Ag1 As1 Br2'
_space_group_name_H-M_alt 'P 4/m m m'
_space_group_IT_number 123
_space_group_name_Hall '-P 4 2'
_cell_length_a 5.289
_cell_length_b 5.289
_cell_length_c 4.720
_cell_angle_alpha 90.00
_cell_angle_beta 90.00
_cell_angle_gamma 90.00
loop_
_atom_site_label
_atom_site_type_symbol
_atom_site_fract_x
_atom_site_fract_y
_atom_site_fract_z
Tc1 Tc 0.000 0.000 0.000
Ag1 Ag 0.500 0.500 0.500
As1 As 0.000 0.000 0.500
Br1 Br 0.000 0.500 0.000
```



An optimized crystal structure of TbY4Bi5, computed with PBE.

Summary:
Energy relative to the elements   -0.8954 eV/atom

Cell and atoms, written as CIF:
```
data_TbY4Bi5
_chemical_formula_sum 'Tb2 Y8 Bi10'
_space_group_name_H-M_alt 'I 4/m m m'
_space_group_IT_number 139
_space_group_name_Hall '-I 4 2'
_cell_length_a 4.484
_cell_length_b 4.484
_cell_length_c 31.706
_cell_angle_alpha 90.00
_cell_angle_beta 90.00
_cell_angle_gamma 90.00
loop_
_atom_site_label
_atom_site_type_symbol
_atom_site_fract_x
_atom_site_fract_y
_atom_site_fract_z
Tb1 Tb 0.000 0.000 0.000
Y1 Y 0.000 0.000 0.200
Y2 Y 0.000 0.000 0.400
Bi1 Bi 0.000 0.000 0.100
Bi2 Bi 0.000 0.000 0.300
Bi3 Bi 0.000 0.000 0.500
```



no.,total magnetization (Bohr magnetons per cell),total energy (eV per cell)
1,0.000,-87.767
2,0.000,-136.072
3,0.061,-96.796
4,0.000,-15.073
5,0.004,-13.533
6,0.002,-17.641
7,0.000,-220.067
8,0.000,-115.461
9,1.476,-19.126
10,0.000,-117.691